Entry from Alexandria via LeMat-Bulk: crystalline Cs6RbP at its relaxed geometry (PBE-GGA).

Space-group type = C2/c (15)
Energy of formation from the pure elements = -0.095 eV per atom
Total energy = -1.5325 eV/atom

abc: 10.2376 10.2376 18.1165
angles: 101.51 101.51 54.37
Sites, in units of the cell vectors:
Cs (0.0326, 0.7997, 0.6037)
Cs (0.1289, 0.3080, 0.6588)
Cs (0.2003, 0.9674, 0.8963)
Cs (0.2999, 0.3903, 0.9619)
Cs (0.3080, 0.1289, 0.1588)
Cs (0.3903, 0.2999, 0.4619)
Cs (0.6097, 0.7001, 0.5381)
Cs (0.6920, 0.8711, 0.8412)
Cs (0.7001, 0.6097, 0.0381)
Cs (0.7997, 0.0326, 0.1037)
Cs (0.8711, 0.6920, 0.3412)
Cs (0.9674, 0.2003, 0.3963)
Rb (0.3754, 0.6246, 0.2500)
Rb (0.6246, 0.3754, 0.7500)
P (0.0000, 0.5000, 0.5000)
P (0.5000, 0.0000, 0.0000)